[1]
Below is crystalline Zn2ReAs at its relaxed geometry, with properties calculated at the PBE level.

Summary:
Energy of formation = 0.6415 eV per atom
DOS(E_F) = 0.67 states/eV/atom
Total magnetic moment = 2.073 μB per cell
Symmetry = I-42d, No. 122

Cell: 5.801 5.801 5.801 Å, 100.33 100.33 129.90°
Sites, in units of the cell vectors:
Zn  0.122  0.625  0.997
Zn  0.375  0.372  0.497
Zn  0.628  0.125  0.003
Zn  0.875  0.878  0.503
Re  0.000  0.000  0.000
Re  0.750  0.250  0.500
As  0.250  0.750  0.500
As  0.500  0.500  0.000

***

[2]
Below is crystalline Zn2ReAs at its relaxed geometry, with properties calculated at the PBE level.

Summary:
Energy of formation = 0.3843 eV per atom
DOS(E_F) = 0.49 states/eV/atom
Total magnetic moment = 0.000 μB per cell
Symmetry = Pmmm, No. 47

Cell: 2.819 4.298 5.081 Å, 90.00 90.00 90.00°
Sites, in units of the cell vectors:
Zn  0.000  0.000  0.240
Zn  0.000  0.000  0.760
Re  0.500  0.500  0.000
As  0.500  0.500  0.500

***

[3]
Below is crystalline Zn2ReAs at its relaxed geometry, with properties calculated at the PBE level.

Summary:
Energy of formation = 0.1729 eV per atom
DOS(E_F) = 0.56 states/eV/atom
Total magnetic moment = 0.000 μB per cell
Symmetry = R3m, No. 160

Cell: 8.552 8.552 8.552 Å, 20.14 20.14 20.14°
Sites, in units of the cell vectors:
Zn  0.000  0.000  0.000
Zn  0.249  0.249  0.249
Re  0.498  0.498  0.498
As  0.760  0.760  0.760

***

[4]
Below is crystalline Zn2ReAs at its relaxed geometry, with properties calculated at the PBE level.

Summary:
Energy of formation = 0.3372 eV per atom
DOS(E_F) = 0.83 states/eV/atom
Total magnetic moment = 0.000 μB per cell
Symmetry = Cmmm, No. 65

Cell: 4.739 4.739 3.050 Å, 90.00 90.00 116.24°
Sites, in units of the cell vectors:
Zn  0.000  0.500  0.000
Zn  0.500  0.000  0.000
Re  0.000  0.000  0.500
As  0.500  0.500  0.500

***

Let's list DFT total energy in order: -0.1569, -0.1664, -0.1741, -0.1681 Ha/atom.